Entry 1:
Here is ZrPaZn after structural relaxation from Alexandria. Energies are from GGA-PBE.

Properties
Relative energy among the computed polymorphs   0.687 eV/f.u.
Crystal system   trigonal

extended XYZ file:
```
3
Lattice="4.990 0.000 0.000 -2.495 4.322 0.000 0.000 0.000 3.062" Properties=species:S:1:pos:R:3 pbc="T T T"
Zr 0.000 0.000 0.000
Pa 2.495 1.441 1.528
Zn 0.000 2.881 3.050
```

***

Entry 2:
Here is ZrPaZn17 after structural relaxation from Alexandria. Energies are from GGA-PBE.

Properties
Crystal system   trigonal

extended XYZ file:
```
19
Lattice="4.458 2.574 4.342 -4.458 2.574 4.342 0.000 -5.148 4.342" Properties=species:S:1:pos:R:3 pbc="T T T"
Zr 0.000 0.000 0.000
Pa 0.000 0.000 8.734
Zn -1.311 -2.323 4.354
Zn -2.667 0.026 4.354
Zn -2.352 -1.358 6.723
Zn 0.000 0.000 2.986
Zn 1.311 -2.323 4.354
Zn -1.356 2.297 4.354
Zn 0.000 -2.508 6.556
Zn -2.172 1.254 6.556
Zn 0.000 0.000 5.612
Zn -2.201 -1.271 10.637
Zn 2.667 0.026 4.354
Zn 1.356 2.297 4.354
Zn 2.352 -1.358 6.723
Zn 0.000 2.716 6.723
Zn 2.172 1.254 6.556
Zn 2.201 -1.271 10.637
Zn 0.000 2.541 10.637
```

***

Entry 3:
Here is ZrPaZn after structural relaxation from Alexandria. Energies are from GGA-PBE.

Properties
Relative energy among the computed polymorphs   0.454 eV/f.u.
Crystal system   triclinic

extended XYZ file:
```
6
Lattice="3.076 0.000 0.000 -1.529 5.107 0.000 -0.008 -0.966 8.273" Properties=species:S:1:pos:R:3 pbc="T T T"
Zr -0.007 0.412 1.792
Zr 1.546 3.728 6.481
Pa 0.003 3.206 3.494
Pa 1.537 0.934 4.779
Zn 0.008 3.448 0.466
Zn 1.532 0.692 7.808
```

***

Entry 4:
Here is Zr2PaZn6 after structural relaxation from Alexandria. Energies are from GGA-PBE.

Properties
Crystal system   hexagonal

extended XYZ file:
```
9
Lattice="7.699 0.000 0.000 -3.849 6.667 0.000 0.000 0.000 3.157" Properties=species:S:1:pos:R:3 pbc="T T T"
Zr 0.000 4.445 0.000
Zr 3.849 2.222 0.000
Pa 0.000 0.000 0.000
Zn -1.303 2.258 1.579
Zn -2.546 4.410 1.579
Zn 2.607 0.000 1.579
Zn 1.303 2.258 1.579
Zn 5.092 0.000 1.579
Zn 2.546 4.410 1.579
```

***

no.,formation energy (eV/atom),size of the total moment (μB/f.u.),DOS at the Fermi energy (states/eV per cell)
1,0.12,0.00,5.56
2,-0.11,0.82,9.91
3,0.05,0.00,8.52
4,-0.20,0.00,8.43